# 1
DFT (PBE) results for a relaxed CsLiTe crystal.

Values from the calculation:
Formation energy without anion corrections ... -20.18 kcal/mol of atoms
Symmetry ... Ima2 (46)

Lattice parameters (Å, degrees): 10.092 10.092 10.092 107.56 91.33 132.45
Positions (direct):
Cs: 0.000 0.250 0.250
Cs: 0.000 0.750 0.750
Cs: 0.105 0.579 0.026
Cs: 0.111 0.083 0.528
Cs: 0.553 0.079 0.974
Cs: 0.555 0.583 0.472
Li: 0.261 0.261 0.000
Li: 0.261 0.761 0.500
Li: 0.553 0.197 0.350
Li: 0.553 0.703 0.857
Li: 0.846 0.203 0.650
Li: 0.846 0.697 0.143
Te: 0.220 0.054 0.167
Te: 0.220 0.554 0.667
Te: 0.551 0.804 0.248
Te: 0.556 0.304 0.752
Te: 0.887 0.054 0.833
Te: 0.887 0.554 0.333

***

# 2
DFT (PBE) results for a relaxed PrThPt crystal.

Values from the calculation:
Symmetry ... P4/nmm (129)
E above lowest polymorph ... 0.0 kJ per mole of atoms

Lattice parameters (Å, degrees): 4.669 4.669 7.787 90.00 90.00 90.00
Positions (direct):
Pr: 0.250 0.250 0.127
Pr: 0.750 0.750 0.873
Th: 0.250 0.750 0.500
Th: 0.750 0.250 0.500
Pt: 0.250 0.250 0.760
Pt: 0.750 0.750 0.240

***

# 3
DFT (PBE) results for a relaxed Na4Tl2Sb5 crystal.

Values from the calculation:
Formation energy without anion corrections ... -4.24 kcal/mol of atoms
Symmetry ... P2/m (10)

Lattice parameters (Å, degrees): 9.392 3.336 10.880 90.00 109.99 90.00
Positions (direct):
Na: 0.197 0.000 0.011
Na: 0.215 0.000 0.489
Na: 0.785 0.000 0.511
Na: 0.803 0.000 0.989
Tl: 0.458 0.500 0.309
Tl: 0.542 0.500 0.691
Sb: 0.088 0.500 0.224
Sb: 0.210 0.500 0.745
Sb: 0.500 0.500 0.000
Sb: 0.790 0.500 0.255
Sb: 0.912 0.500 0.776

***

# 4
DFT (PBE) results for a relaxed SmUSN2 crystal.

Values from the calculation:
Formation energy without anion corrections ... -35.35 kcal/mol of atoms
Symmetry ... I4mm (107)

Lattice parameters (Å, degrees): 6.640 6.640 6.640 146.67 146.67 47.86
Positions (direct):
Sm: 0.000 0.000 0.000
U: 0.305 0.305 0.000
S: 0.650 0.650 0.000
N: 0.387 0.887 0.500
N: 0.887 0.387 0.500

***

# 5
DFT (PBE) results for a relaxed Ba2In3Ge2 crystal.

Values from the calculation:
Symmetry ... C2/m (12)

Lattice parameters (Å, degrees): 6.377 6.377 7.573 99.34 99.34 44.25
Positions (direct):
Ba: 0.130 0.130 0.335
Ba: 0.870 0.870 0.665
In: 0.180 0.180 0.871
In: 0.500 0.500 0.000
In: 0.820 0.820 0.129
Ge: 0.423 0.423 0.360
Ge: 0.577 0.577 0.640

***

# 6
DFT (PBE) results for a relaxed Ac2ThRh crystal.

Values from the calculation:
Symmetry ... R-3m (166)

Lattice parameters (Å, degrees): 11.300 11.300 11.300 19.89 19.89 19.89
Positions (direct):
Ac: 0.111 0.111 0.111
Ac: 0.889 0.889 0.889
Th: 0.000 0.000 0.000
Rh: 0.500 0.500 0.500

***

Calculated final energy, -2.8448; -6.7393; -2.9678; -8.8899; -3.4106; -5.7050 eV per atom (same order as the records).